<1>
VASP calculation (PBE-GGA) on TaTePO2 after structural relaxation.

```
data_TaTePO2
_chemical_formula_sum 'Ta1 Te1 P1 O2'
_space_group_name_H-M_alt 'P 4/m m m'
_space_group_IT_number 123
_space_group_name_Hall '-P 4 2'
_cell_length_a 3.947
_cell_length_b 3.947
_cell_length_c 5.510
_cell_angle_alpha 90.00
_cell_angle_beta 90.00
_cell_angle_gamma 90.00
loop_
_atom_site_label
_atom_site_type_symbol
_atom_site_fract_x
_atom_site_fract_y
_atom_site_fract_z
Ta1 Ta 0.000 0.000 0.000
Te1 Te 0.500 0.500 0.500
P1 P 0.500 0.500 0.000
O1 O 0.000 0.500 0.500
```

Computed properties:
Density of states at the Fermi level (states/eV/f.u.): 5.02
M_tot (μB per formula unit): 2.1

=====

<2>
VASP calculation (PBE-GGA) on TaTePO2 after structural relaxation.

```
data_TaTePO2
_chemical_formula_sum 'Ta1 Te1 P1 O2'
_space_group_name_H-M_alt 'P 4/m m m'
_space_group_IT_number 123
_space_group_name_Hall '-P 4 2'
_cell_length_a 3.913
_cell_length_b 3.913
_cell_length_c 5.565
_cell_angle_alpha 90.00
_cell_angle_beta 90.00
_cell_angle_gamma 90.00
loop_
_atom_site_label
_atom_site_type_symbol
_atom_site_fract_x
_atom_site_fract_y
_atom_site_fract_z
Ta1 Ta 0.000 0.000 0.000
Te1 Te 0.500 0.500 0.500
P1 P 0.000 0.000 0.500
O1 O 0.000 0.500 0.000
```

Computed properties:
Density of states at the Fermi level (states/eV/f.u.): 1.66
M_tot (μB per formula unit): 0.0

=====

Best to worst by energy: <2>, <1>.